[1]
# Tl2CuTe

A geometry-optimized Tl2CuTe structure (PBE, Alexandria).

Geometry as POSCAR:
```
Tl2CuTe
1.0
-3.1669 -0.6291 2.7994
-2.8036 -3.3013 -3.9136
0.7517 -5.7273 -0.4367
Cu Te Tl
1 1 2
direct
0.0000 0.5255 0.5328
0.5000 0.6756 0.6677
0.5000 0.3392 0.3360
0.0000 0.9597 0.9634
```

Results
symmetry: Pm
excess energy over the best structure of this formula in the dataset: 0.0065 eV/atom
crystal system: monoclinic

=====

[2]
# TlCu2Te2

A geometry-optimized TlCu2Te2 structure (PBE, Alexandria).

Geometry as POSCAR:
```
TlCu2Te2
1.0
7.1982 0.1952 -0.0066
-2.2583 6.8376 -0.0066
-2.4648 -3.5090 5.4009
Te Cu Tl
4 4 2
direct
0.1759 0.3241 0.7500
0.4260 0.0740 0.2500
0.8241 0.6759 0.2500
0.5740 0.9260 0.7500
0.7454 0.9952 0.4905
0.5048 0.7546 0.0095
0.4952 0.2454 0.9905
0.2546 0.0048 0.5095
0.1249 0.3751 0.2500
0.8751 0.6249 0.7500
```

Results
symmetry: Fddd
excess energy over the best structure of this formula in the dataset: 0.0673 eV/atom
crystal system: orthorhombic

=====

[3]
# Tl2CuTe

A geometry-optimized Tl2CuTe structure (PBE, Alexandria).

Geometry as POSCAR:
```
Tl2CuTe
1.0
-5.4191 -1.0572 4.3431
-1.6971 -1.1331 6.7218
-3.4462 2.7287 5.4795
Cu Te Tl
1 1 2
direct
0.2500 0.2500 0.2500
0.7500 0.7500 0.7500
0.5157 0.5157 0.5157
0.9843 0.9843 0.9843
```

Results
symmetry: R-3m
excess energy over the best structure of this formula in the dataset: 0.1545 eV/atom
crystal system: trigonal

=====

[4]
# Tl2CuTe

A geometry-optimized Tl2CuTe structure (PBE, Alexandria).

Geometry as POSCAR:
```
Tl2CuTe
1.0
-0.4131 -3.7803 0.3240
0.9425 -0.4179 -3.6746
7.5992 -0.6569 2.0237
Tl Te Cu
2 1 1
direct
0.0000 0.0000 0.9753
0.5000 0.5000 0.2522
0.5000 0.5000 0.6502
0.0000 0.0000 0.6223
```

Results
symmetry: P4mm
excess energy over the best structure of this formula in the dataset: 0.1040 eV/atom
crystal system: tetragonal

=====

[5]
# TlCu2Te

A geometry-optimized TlCu2Te structure (PBE, Alexandria).

Geometry as POSCAR:
```
TlCu2Te
1.0
4.4317 0.0000 0.0000
0.0000 4.3066 -0.0598
0.0000 1.7233 4.7091
Cu Tl Te
2 1 1
direct
0.5000 0.1982 0.2213
0.0000 0.0509 0.0708
0.5000 0.8281 0.8135
0.0000 0.4228 0.3945
```

Results
symmetry: Pm
excess energy over the best structure of this formula in the dataset: 0.0430 eV/atom
crystal system: monoclinic

=====

[6]
# TlCu2Te

A geometry-optimized TlCu2Te structure (PBE, Alexandria).

Geometry as POSCAR:
```
TlCu2Te
1.0
4.9871 0.0000 0.0000
2.4936 4.3190 0.0000
2.4936 1.4397 4.0720
Cu Tl Te
2 1 1
direct
0.2500 0.2500 0.2500
0.0000 0.0000 0.0000
0.7500 0.7500 0.7500
0.5000 0.5000 0.5000
```

Results
symmetry: F-43m
excess energy over the best structure of this formula in the dataset: 0.4346 eV/atom
crystal system: cubic

=====

[7]
# Tl2CuTe

A geometry-optimized Tl2CuTe structure (PBE, Alexandria).

Geometry as POSCAR:
```
Tl2CuTe
1.0
-2.8377 2.2530 0.7769
-1.3298 -3.4368 0.3897
2.2270 0.0456 8.0022
Tl Te Cu
2 1 1
direct
0.0000 0.0000 0.9885
0.5000 0.5000 0.2996
0.5000 0.5000 0.6869
0.0000 0.0000 0.5250
```

Results
symmetry: Cmm2
excess energy over the best structure of this formula in the dataset: 0.1481 eV/atom
crystal system: orthorhombic

=====

[8]
# Tl3Cu2Te4

A geometry-optimized Tl3Cu2Te4 structure (PBE, Alexandria).

Geometry as POSCAR:
```
Tl3Cu2Te4
1.0
-1.1930 0.2083 -3.9570
5.4806 -6.5151 0.1686
-9.4254 -0.3992 2.8204
Tl Cu Te
3 2 4
direct
0.6301 0.2603 0.7282
0.3699 0.7397 0.2718
0.0000 0.0000 0.0000
0.3000 0.5999 0.5998
0.7000 0.4001 0.4002
0.3236 0.6471 0.8871
0.1015 0.2030 0.3982
0.8985 0.7970 0.6018
0.6764 0.3529 0.1129
```

Results
symmetry: C2/m
crystal system: monoclinic

=====

[9]
# Tl4Cu5Te6

A geometry-optimized Tl4Cu5Te6 structure (PBE, Alexandria).

Geometry as POSCAR:
```
Tl4Cu5Te6
1.0
-2.7192 -0.9491 -2.9738
10.0297 1.6084 -6.8028
3.7472 -16.1113 1.7155
Tl Cu Te
8 10 12
direct
0.9935 0.9869 0.7562
0.1740 0.3479 0.9305
0.8260 0.6521 0.4305
0.9870 0.9740 0.4849
0.1922 0.3843 0.3266
0.0065 0.0131 0.2562
0.0130 0.0260 0.9849
0.8078 0.6157 0.8266
0.3566 0.7132 0.2310
0.2956 0.5911 0.6343
0.1341 0.2683 0.6173
0.6534 0.3068 0.5097
0.8659 0.7317 0.1173
0.3764 0.7529 0.7304
0.6434 0.2868 0.7310
0.6236 0.2471 0.2304
0.7044 0.4089 0.1343
0.3466 0.6932 0.0097
0.4314 0.8627 0.1134
0.4098 0.8195 0.8768
0.7789 0.5577 0.0197
0.5686 0.1373 0.6134
0.2102 0.4204 0.7327
0.8675 0.7350 0.6303
0.5837 0.1674 0.8618
0.5902 0.1805 0.3768
0.4163 0.8326 0.3618
0.7898 0.5796 0.2327
0.2211 0.4423 0.5197
0.1325 0.2650 0.1303
```

Results
symmetry: Cmc2_1
crystal system: orthorhombic

=====

[10]
# Tl2CuTe5

A geometry-optimized Tl2CuTe5 structure (PBE, Alexandria).

Geometry as POSCAR:
```
Tl2CuTe5
1.0
-1.5270 2.1549 -8.0535
-5.9425 -3.0639 0.3068
2.1072 4.9348 5.3804
Tl Te Cu
2 5 1
direct
0.2762 0.8254 0.5525
0.7835 0.3184 0.5671
0.2983 0.8039 0.0413
0.7430 0.8039 0.0413
0.6002 0.5552 0.2004
0.8255 0.2450 0.0232
0.1977 0.2449 0.0232
0.0526 0.9803 0.1051
```

Results
symmetry: Cm
crystal system: monoclinic

=====

[11]
# TlCu2Te

A geometry-optimized TlCu2Te structure (PBE, Alexandria).

Geometry as POSCAR:
```
TlCu2Te
1.0
-1.8895 0.6719 -3.3283
-2.6368 -2.6871 0.9545
-3.1132 3.9673 2.5683
Cu Te Tl
2 1 1
direct
0.5000 0.5000 0.3747
0.0000 0.0000 0.8748
0.0000 0.0000 0.3753
0.5000 0.5000 0.8751
```

Results
symmetry: P4/mmm
excess energy over the best structure of this formula in the dataset: 0.1316 eV/atom
crystal system: tetragonal

=====

[12]
# TlCu2Te4

A geometry-optimized TlCu2Te4 structure (PBE, Alexandria).

Geometry as POSCAR:
```
TlCu2Te4
1.0
7.4813 0.2658 -0.1108
-0.2821 7.7124 0.1168
-3.4926 -4.0842 7.6020
Te Cu Tl
8 4 2
direct
0.8465 0.5704 0.6915
0.4248 0.1533 0.3057
0.8331 0.6165 0.2307
0.8803 0.1540 0.3062
0.3867 0.6045 0.7711
0.3862 0.1655 0.7714
0.8462 0.1202 0.6918
0.3965 0.6159 0.2305
0.5821 0.3383 0.6778
0.6611 0.9067 0.3232
0.0972 0.3387 0.6782
0.6610 0.4179 0.3231
0.9950 0.9949 0.9923
0.2533 0.7533 0.5065
```

Results
symmetry: P1
crystal system: triclinic

=====

Number 1: raw formation energy -0.15 eV/f.u., V 120.9 Å³/f.u.. Number 2: raw formation energy -0.44 eV/f.u., V 133.9 Å³/f.u.. Number 3: raw formation energy 0.44 eV/f.u., V 110.6 Å³/f.u.. Number 4: raw formation energy 0.24 eV/f.u., V 114.9 Å³/f.u.. Number 5: raw formation energy 0.43 eV/f.u., V 90.3 Å³/f.u.. Number 6: raw formation energy 1.99 eV/f.u., V 87.7 Å³/f.u.. Number 7: raw formation energy 0.42 eV/f.u., V 109.9 Å³/f.u.. Number 8: raw formation energy -1.27 eV/f.u., V 269.9 Å³/f.u.. Number 9: raw formation energy -1.98 eV/f.u., V 414.8 Å³/f.u.. Number 10: raw formation energy -0.18 eV/f.u., V 281.9 Å³/f.u.. Number 11: raw formation energy 0.78 eV/f.u., V 85.4 Å³/f.u.. Number 12: raw formation energy 0.03 eV/f.u., V 219.8 Å³/f.u..